# AcCoOs2O8

A relaxed structure of AcCoOs2O8 (PBE with a Hubbard U, Alexandria).

Structure (POSCAR):
```
AcCoOs2O8
1.0
5.123 0.000 0.000
2.562 4.437 0.000
2.562 1.479 6.935
Ac Co Os O
1 1 2 8
Direct
0.500 0.500 0.500
0.000 0.000 0.000
0.270 0.270 0.191
0.730 0.730 0.809
0.180 0.180 0.461
0.622 0.293 0.174
0.820 0.820 0.539
0.911 0.622 0.174
0.089 0.378 0.826
0.293 0.911 0.174
0.707 0.089 0.826
0.378 0.707 0.826
```

Calculated values
* density of states at the Fermi level: 0.3852 states/eV/atom
* VASP energy: -86.3 eV for the cell shown
* V: 13.14 A^3/atom